[1]
Below is crystalline PaBiAs2N at its relaxed geometry, with properties calculated at the PBE level.

Cell and atoms, written as CIF:
```
data_PaBiAs2N
_space_group_name_H-M_alt 'P 4/n m m'
_space_group_IT_number 129
_cell_length_a 3.9020
_cell_length_b 3.9020
_cell_length_c 15.2308
_cell_angle_alpha 90.00
_cell_angle_beta 90.00
_cell_angle_gamma 90.00
loop_
_space_group_symop_operation_xyz
'x,y,z'
'-x,-y,-z'
'-y+1/2,x,z'
'y+1/2,-x,-z'
'-x+1/2,-y+1/2,z'
'x+1/2,y+1/2,-z'
'y,-x+1/2,z'
'-y,x+1/2,-z'
'x+1/2,-y,-z'
'-x+1/2,y,z'
'-y,-x,-z'
'y,x,z'
'-x,y+1/2,-z'
'x,-y+1/2,z'
'y+1/2,x+1/2,-z'
'-y+1/2,-x+1/2,z'
loop_
_atom_site_label
_atom_site_type_symbol
_atom_site_fract_x
_atom_site_fract_y
_atom_site_fract_z
_atom_site_occupancy
Pa1 Pa 0.2500 0.2500 0.0794 1
Bi1 Bi 0.2500 0.2500 0.6448 1
As1 As 0.2500 0.2500 0.4233 1
As2 As 0.2500 0.2500 0.8285 1
N1 N 0.2500 0.7500 0.0000 1
```

Results
V: 231.90 Å³/cell
formation energy without anion corrections: -711 meV/atom

=====

[2]
Below is crystalline TbEr2Sb at its relaxed geometry, with properties calculated at the PBE level.

Cell and atoms, written as CIF:
```
data_TbEr2Sb
_space_group_name_H-M_alt 'R -3 m'
_space_group_IT_number 166
_space_group_name_Hall '-R 3 2"'
_cell_length_a 3.8443
_cell_length_b 3.8443
_cell_length_c 32.1343
_cell_angle_alpha 90.00
_cell_angle_beta 90.00
_cell_angle_gamma 120.00
loop_
_atom_site_label
_atom_site_type_symbol
_atom_site_fract_x
_atom_site_fract_y
_atom_site_fract_z
_atom_site_occupancy
Tb1 Tb 0.0000 0.0000 0.0000 1
Er1 Er 0.0000 0.0000 0.1057 1
Sb1 Sb 0.0000 0.0000 0.5000 1
```

Results
V: 411.29 Å³/cell
energy above the lowest structure with this stoichiometry: 534 meV/atom
formation energy without anion corrections: -12 meV/atom

=====

[3]
Below is crystalline Na2BiO3 at its relaxed geometry, with properties calculated at the PBE level.

Cell and atoms, written as CIF:
```
data_Na2BiO3
_space_group_name_H-M_alt 'C 1 2/c 1'
_space_group_IT_number 15
_cell_length_a 5.9759
_cell_length_b 10.3368
_cell_length_c 11.3610
_cell_angle_alpha 90.00
_cell_angle_beta 99.59
_cell_angle_gamma 90.00
loop_
_space_group_symop_operation_xyz
'x,y,z'
'-x,-y,-z'
'-x,y,-z+1/2'
'x,-y,z+1/2'
'x+1/2,y+1/2,z'
'-x+1/2,-y+1/2,-z'
'-x+1/2,y+1/2,-z+1/2'
'x+1/2,-y+1/2,z+1/2'
loop_
_atom_site_label
_atom_site_type_symbol
_atom_site_fract_x
_atom_site_fract_y
_atom_site_fract_z
_atom_site_occupancy
Na1 Na 0.0000 0.0858 0.2500 1
Na2 Na 0.2361 0.0867 0.0025 1
Na3 Na 0.2500 0.2500 0.5000 1
Bi1 Bi 0.0000 0.2475 0.7500 1
Bi2 Bi 0.0000 0.4198 0.2500 1
O1 O 0.1013 0.3997 0.6371 1
O2 O 0.1227 0.1002 0.6377 1
O3 O 0.1654 0.2588 0.1416 1
```

Results
V: 691.98 Å³/cell
formation energy without anion corrections: -1384 meV/atom

=====

[4]
Below is crystalline Tc2MoW at its relaxed geometry, with properties calculated at the PBE level.

Cell and atoms, written as CIF:
```
data_Tc2MoW
_space_group_name_H-M_alt 'P m m m'
_space_group_IT_number 47
_cell_length_a 3.1202
_cell_length_b 4.3940
_cell_length_c 4.4820
_cell_angle_alpha 90.00
_cell_angle_beta 90.00
_cell_angle_gamma 90.00
loop_
_space_group_symop_operation_xyz
'x,y,z'
'-x,-y,-z'
'-x,-y,z'
'x,y,-z'
'x,-y,-z'
'-x,y,z'
'-x,y,-z'
'x,-y,z'
loop_
_atom_site_label
_atom_site_type_symbol
_atom_site_fract_x
_atom_site_fract_y
_atom_site_fract_z
_atom_site_occupancy
Tc1 Tc 0.0000 0.0000 0.0000 1
Tc2 Tc 0.5000 0.0000 0.5000 1
Mo1 Mo 0.0000 0.5000 0.5000 1
W1 W 0.5000 0.5000 0.0000 1
```

Results
V: 61.45 Å³/cell
energy relative to the elements: 0.102 eV per atom
energy above the lowest structure with this stoichiometry: 34 meV/atom

=====

[5]
Below is crystalline UCoPbS4 at its relaxed geometry, with properties calculated at the PBE level.

Cell and atoms, written as CIF:
```
data_UCoPbS4
_space_group_name_H-M_alt 'P 1 21/m 1'
_space_group_IT_number 11
_cell_length_a 6.5005
_cell_length_b 5.6511
_cell_length_c 8.1891
_cell_angle_alpha 90.00
_cell_angle_beta 105.91
_cell_angle_gamma 90.00
loop_
_space_group_symop_operation_xyz
'x,y,z'
'-x,-y,-z'
'-x,y+1/2,-z'
'x,-y+1/2,z'
loop_
_atom_site_label
_atom_site_type_symbol
_atom_site_fract_x
_atom_site_fract_y
_atom_site_fract_z
_atom_site_occupancy
U1 U 0.2437 0.2500 0.4473 1
Co1 Co 0.2660 0.7500 0.6546 1
Pb1 Pb 0.2214 0.2500 0.9490 1
S1 S 0.0679 0.7500 0.3974 1
S2 S 0.0722 0.7500 0.8482 1
S3 S 0.4823 0.5082 0.2778 1
```

Results
V: 289.31 Å³/cell
formation energy without anion corrections: -779 meV/atom

=====

[6]
Below is crystalline Mg2CrN at its relaxed geometry, with properties calculated at the PBE level.

Cell and atoms, written as CIF:
```
data_Mg2CrN
_space_group_name_H-M_alt 'I -4 2 d'
_space_group_IT_number 122
_space_group_name_Hall 'I -4 2bw'
_cell_length_a 8.3809
_cell_length_b 8.3809
_cell_length_c 3.7523
_cell_angle_alpha 90.00
_cell_angle_beta 90.00
_cell_angle_gamma 90.00
loop_
_atom_site_label
_atom_site_type_symbol
_atom_site_fract_x
_atom_site_fract_y
_atom_site_fract_z
_atom_site_occupancy
Mg1 Mg 0.1048 0.2500 0.1250 1
Cr1 Cr 0.0000 0.0000 0.5000 1
N1 N 0.0000 0.0000 0.0000 1
```

Results
V: 263.56 Å³/cell
formation energy without anion corrections: 11 meV/atom

=====

[7]
Below is crystalline CePuPa4 at its relaxed geometry, with properties calculated at the PBE level.

Cell and atoms, written as CIF:
```
data_CePuPa4
_space_group_name_H-M_alt 'C 1 2/m 1'
_space_group_IT_number 12
_cell_length_a 8.6078
_cell_length_b 12.4987
_cell_length_c 5.8008
_cell_angle_alpha 90.00
_cell_angle_beta 103.27
_cell_angle_gamma 90.00
loop_
_space_group_symop_operation_xyz
'x,y,z'
'-x,-y,-z'
'-x,y,-z'
'x,-y,z'
'x+1/2,y+1/2,z'
'-x+1/2,-y+1/2,-z'
'-x+1/2,y+1/2,-z'
'x+1/2,-y+1/2,z'
loop_
_atom_site_label
_atom_site_type_symbol
_atom_site_fract_x
_atom_site_fract_y
_atom_site_fract_z
_atom_site_occupancy
Ce1 Ce 0.1383 0.0000 0.4074 1
Pu1 Pu 0.0000 0.2832 0.0000 1
Pa1 Pa 0.0000 0.2824 0.5000 1
Pa2 Pa 0.0175 0.5000 0.2563 1
Pa3 Pa 0.1969 0.1308 0.9418 1
```

Results
V: 607.41 Å³/cell
energy relative to the elements: 0.197 eV per atom
energy above the lowest structure with this stoichiometry: 148 meV/atom

=====

[8]
Below is crystalline CeUPaN3 at its relaxed geometry, with properties calculated at the PBE level.

Cell and atoms, written as CIF:
```
data_CeUPaN3
_space_group_name_H-M_alt 'P 1 21/m 1'
_space_group_IT_number 11
_cell_length_a 6.1236
_cell_length_b 3.4445
_cell_length_c 8.9047
_cell_angle_alpha 90.00
_cell_angle_beta 103.38
_cell_angle_gamma 90.00
loop_
_space_group_symop_operation_xyz
'x,y,z'
'-x,-y,-z'
'-x,y+1/2,-z'
'x,-y+1/2,z'
loop_
_atom_site_label
_atom_site_type_symbol
_atom_site_fract_x
_atom_site_fract_y
_atom_site_fract_z
_atom_site_occupancy
Ce1 Ce 0.1442 0.2500 0.1879 1
U1 U 0.3749 0.2500 0.8627 1
Pa1 Pa 0.2665 0.7500 0.5509 1
N1 N 0.0494 0.2500 0.6575 1
N2 N 0.2312 0.7500 0.9946 1
N3 N 0.4488 0.7500 0.3502 1
```

Results
V: 182.72 Å³/cell
formation energy without anion corrections: -1339 meV/atom

=====

[9]
Below is crystalline BaSr2Zn at its relaxed geometry, with properties calculated at the PBE level.

Cell and atoms, written as CIF:
```
data_BaSr2Zn
_space_group_name_H-M_alt 'I m m 2'
_space_group_IT_number 44
_cell_length_a 4.1867
_cell_length_b 6.3249
_cell_length_c 13.3841
_cell_angle_alpha 90.00
_cell_angle_beta 90.00
_cell_angle_gamma 90.00
loop_
_space_group_symop_operation_xyz
'x,y,z'
'-x,-y,z'
'-x,y,z'
'x,-y,z'
'x+1/2,y+1/2,z+1/2'
'-x+1/2,-y+1/2,z+1/2'
'-x+1/2,y+1/2,z+1/2'
'x+1/2,-y+1/2,z+1/2'
loop_
_atom_site_label
_atom_site_type_symbol
_atom_site_fract_x
_atom_site_fract_y
_atom_site_fract_z
_atom_site_occupancy
Ba1 Ba 0.0000 0.0000 0.0000 1
Sr1 Sr 0.0000 0.0000 0.6133 1
Sr2 Sr 0.0000 0.5000 0.8062 1
Zn1 Zn 0.0000 0.5000 0.3017 1
```

Results
V: 354.42 Å³/cell
energy relative to the elements: -0.020 eV per atom